DFT (PBE-GGA) results for a relaxed Pr8Si3Se4O crystal.

Crystal system: monoclinic
Density (Mg/m³): 6.0
E_form (uncorrected) (eV per atom): -1.50
E_tot (eV per formula unit): -97.4
Density of states at the Fermi level (states/eV per cell): 7.03

abc: 14.5519 8.3994 8.5204
angles: 90.00 124.70 90.00
Space group C2/m (No. 12)
Asymmetric unit:
Pr (0.0047, 0.2420, 0.2719) [8 per cell]
Pr (0.2383, 0.0000, 0.7290) [4 per cell]
Pr (0.2475, 0.5000, 0.7426) [4 per cell]
Si (0.0000, 0.5000, 0.5000) [2 per cell]
Si (0.2500, 0.2500, 0.5000) [4 per cell]
Se (0.0000, 0.0000, 0.0000) [2 per cell]
Se (0.0000, 0.5000, 0.0000) [2 per cell]
Se (0.2500, 0.2500, 0.0000) [4 per cell]
O (0.0000, 0.0000, 0.5000) [2 per cell]

DFT (PBE-GGA) results for a relaxed PrSnSe2O crystal.

Crystal system: tetragonal
Density (Mg/m³): 5.8
E_form (uncorrected) (eV per atom): -1.65
E_tot (eV per formula unit): -29.0
Density of states at the Fermi level (states/eV per cell): 2.20

abc: 4.0122 4.0122 15.3299
angles: 90.00 90.00 90.00
Space group P4/nmm (No. 129, origin choice 2)
Asymmetric unit:
Pr (0.2500, 0.2500, 0.0811) [2 per cell]
Sn (0.2500, 0.2500, 0.6461) [2 per cell]
Se (0.2500, 0.2500, 0.3976) [2 per cell]
Se (0.2500, 0.2500, 0.8137) [2 per cell]
O (0.2500, 0.7500, 0.0000) [2 per cell]

DFT (PBE-GGA) results for a relaxed PrSnSeO2 crystal.

Crystal system: orthorhombic
Density (Mg/m³): 6.6
E_form (uncorrected) (eV per atom): -1.93
E_tot (eV per formula unit): -31.9
Density of states at the Fermi level (states/eV per cell): 10.39

abc: 5.5033 11.9941 5.6144
angles: 90.00 90.00 90.00
Space group Cmcm (No. 63)
Asymmetric unit:
Pr (0.0000, 0.1116, 0.2500) [4 per cell]
Sn (0.0000, 0.4127, 0.2500) [4 per cell]
Se (0.0000, 0.2326, 0.7500) [4 per cell]
O (0.2379, 0.5000, 0.0000) [8 per cell]

DFT (PBE-GGA) results for a relaxed SrPrSe2O8 crystal.

Crystal system: trigonal
Density (Mg/m³): 3.9
E_form (uncorrected) (eV per atom): -1.59
E_tot (eV per formula unit): -72.2
Density of states at the Fermi level (states/eV per cell): 3.38

abc: 5.8348 5.8348 7.5222
angles: 90.00 90.00 120.00
Space group P-3m1 (No. 164)
Asymmetric unit:
Sr (0.0000, 0.0000, 0.0000) [1 per cell]
Pr (0.0000, 0.0000, 0.5000) [1 per cell]
Se (0.3333, 0.6667, 0.7912) [2 per cell]
O (0.1673, 0.3345, 0.7226) [6 per cell]
O (0.3333, 0.6667, 0.0123) [2 per cell]

DFT (PBE-GGA) results for a relaxed PrTiSe2O crystal.

Crystal system: tetragonal
Density (Mg/m³): 5.8
E_form (uncorrected) (eV per atom): -1.93
E_tot (eV per formula unit): -34.3
Density of states at the Fermi level (states/eV per cell): 4.28

abc: 3.9015 3.9015 13.6580
angles: 90.00 90.00 90.00
Space group P4/nmm (No. 129, origin choice 2)
Asymmetric unit:
Pr (0.2500, 0.2500, 0.0938) [2 per cell]
Ti (0.2500, 0.2500, 0.5999) [2 per cell]
Se (0.2500, 0.2500, 0.4065) [2 per cell]
Se (0.2500, 0.2500, 0.7786) [2 per cell]
O (0.2500, 0.7500, 0.0000) [2 per cell]

DFT (PBE-GGA) results for a relaxed PrTmSeO2 crystal.

Crystal system: monoclinic
Density (Mg/m³): 7.0
E_form (uncorrected) (eV per atom): -3.05
E_tot (eV per formula unit): -37.9
Density of states at the Fermi level (states/eV per cell): 0.00

abc: 6.6470 4.0920 7.7315
angles: 90.00 108.95 90.00
Space group P2_1/m (No. 11)
Asymmetric unit:
Pr (0.1925, 0.2500, 0.4304) [2 per cell]
Tm (0.1668, 0.2500, 0.9226) [2 per cell]
Se (0.4558, 0.7500, 0.7501) [2 per cell]
O (0.0139, 0.7500, 0.3676) [2 per cell]
O (0.0213, 0.7500, 0.8921) [2 per cell]

DFT (PBE-GGA) results for a relaxed Pr2TmSe2O2 crystal.

Crystal system: tetragonal
Density (Mg/m³): 7.4
E_form (uncorrected) (eV per atom): -2.45
E_tot (eV per formula unit): -48.1
Density of states at the Fermi level (states/eV per cell): 4.66

abc: 4.2911 4.2911 15.7011
angles: 90.00 90.00 90.00
Space group I4/mmm (No. 139)
Asymmetric unit:
Pr (0.0000, 0.0000, 0.1268) [4 per cell]
Tm (0.0000, 0.0000, 0.5000) [2 per cell]
Se (0.0000, 0.0000, 0.3214) [4 per cell]
O (0.0000, 0.5000, 0.0000) [4 per cell]

DFT (PBE-GGA) results for a relaxed PrYSe2O crystal.

Crystal system: tetragonal
Density (Mg/m³): 5.5
E_form (uncorrected) (eV per atom): -2.38
E_tot (eV per formula unit): -35.1
Density of states at the Fermi level (states/eV per cell): 1.89

abc: 4.0762 4.0762 14.6267
angles: 90.00 90.00 90.00
Space group P4/nmm (No. 129, origin choice 2)
Asymmetric unit:
Pr (0.2500, 0.2500, 0.0826) [2 per cell]
Y (0.2500, 0.2500, 0.6227) [2 per cell]
Se (0.2500, 0.2500, 0.4110) [2 per cell]
Se (0.2500, 0.2500, 0.8026) [2 per cell]
O (0.2500, 0.7500, 0.0000) [2 per cell]

DFT (PBE-GGA) results for a relaxed Pr2YSe2O2 crystal.

Crystal system: tetragonal
Density (Mg/m³): 6.3
E_form (uncorrected) (eV per atom): -2.37
E_tot (eV per formula unit): -49.5
Density of states at the Fermi level (states/eV per cell): 5.03

abc: 4.3429 4.3429 15.7381
angles: 90.00 90.00 90.00
Space group I4/mmm (No. 139)
Asymmetric unit:
Pr (0.0000, 0.0000, 0.1274) [4 per cell]
Y (0.0000, 0.0000, 0.5000) [2 per cell]
Se (0.0000, 0.0000, 0.3200) [4 per cell]
O (0.0000, 0.5000, 0.0000) [4 per cell]

DFT (PBE-GGA) results for a relaxed PrZn3Se4O12 crystal.

Crystal system: trigonal
Density (Mg/m³): 5.2
E_form (uncorrected) (eV per atom): -0.97
E_tot (eV per formula unit): -101.4
Density of states at the Fermi level (states/eV per cell): 10.99

abc: 10.8638 10.8638 7.9566
angles: 90.00 90.00 120.00
Space group R32 (No. 155, hexagonal axes)
Asymmetric unit:
Pr (0.0000, 0.0000, 0.0000) [3 per cell]
Zn (0.0000, 0.5693, 0.0000) [9 per cell]
Se (0.0000, 0.0000, 0.5000) [3 per cell]
Se (0.0000, 0.3933, 0.5000) [9 per cell]
O (0.0000, 0.5502, 0.5000) [9 per cell]
O (0.0000, 0.8266, 0.5000) [9 per cell]
O (0.0540, 0.1909, 0.1972) [18 per cell]

DFT (PBE-GGA) results for a relaxed PrZrSe2O crystal.

Crystal system: tetragonal
Density (Mg/m³): 6.2
E_form (uncorrected) (eV per atom): -2.07
E_tot (eV per formula unit): -35.6
Density of states at the Fermi level (states/eV per cell): 2.66

abc: 3.9547 3.9547 13.9032
angles: 90.00 90.00 90.00
Space group P4/nmm (No. 129, origin choice 2)
Asymmetric unit:
Pr (0.2500, 0.2500, 0.0906) [2 per cell]
Zr (0.2500, 0.2500, 0.5979) [2 per cell]
Se (0.2500, 0.2500, 0.3947) [2 per cell]
Se (0.2500, 0.2500, 0.7846) [2 per cell]
O (0.2500, 0.7500, 0.0000) [2 per cell]

DFT (PBE-GGA) results for a relaxed Pr3SiO crystal.

Distance to the lowest polymorph of the same formula (meV per atom): 17
Crystal system: monoclinic
Density (Mg/m³): 6.4
E_form (uncorrected) (eV per atom): -1.25
E_tot (eV per formula unit): -31.0
Density of states at the Fermi level (states/eV per cell): 15.71

abc: 9.3084 6.2614 8.9011
angles: 90.00 111.79 90.00
Space group P2_1/c (No. 14)
Asymmetric unit:
Pr (0.0647, 0.0970, 0.3515) [4 per cell]
Pr (0.1922, 0.5903, 0.5525) [4 per cell]
Pr (0.3742, 0.1130, 0.7682) [4 per cell]
Si (0.3884, 0.6165, 0.9209) [4 per cell]
O (0.0743, 0.2419, 0.6094) [4 per cell]